NaCaPbF6 | Alexandria | PBE | optimized geometry; N(E_F) = 6.4 states/eV per cell; E_form (uncorrected) = -2.78 eV/atom; total DFT energy (no corrections) = -4.81 eV/atom
1.0
6.0860 0.0000 0.0000
-3.0430 5.2706 0.0000
0.0000 0.0000 9.3515
Na Ca Pb F
2 2 2 12
direct
0.0000 0.0000 0.0000 Na
0.0000 0.0000 0.5000 Na
0.3333 0.6667 0.2500 Ca
0.6667 0.3333 0.7500 Ca
0.3333 0.6667 0.7500 Pb
0.6667 0.3333 0.2500 Pb
0.0009 0.3457 0.6299 F
0.0009 0.6552 0.8701 F
0.3448 0.3457 0.8701 F
0.3448 0.9991 0.6299 F
0.3457 0.0009 0.1299 F
0.3457 0.3448 0.3701 F
0.6543 0.6552 0.6299 F
0.6543 0.9991 0.8701 F
0.6552 0.0009 0.3701 F
0.6552 0.6543 0.1299 F
0.9991 0.3448 0.1299 F
0.9991 0.6543 0.3701 F